CaAlH8Rh2: relaxed, PBE-GGA.

a b c (Å): 6.1676 6.1676 6.1676
angles (deg): 43.75 43.75 43.75
Element x y z (fractional)
Ca 0.0000 0.0000 0.0000
Al 0.5000 0.5000 0.5000
H 0.1188 0.5568 0.5568
H 0.3109 0.3109 0.3109
H 0.4432 0.4432 0.8812
H 0.4432 0.8812 0.4432
H 0.5568 0.1188 0.5568
H 0.5568 0.5568 0.1188
H 0.6891 0.6891 0.6891
H 0.8812 0.4432 0.4432
Rh 0.2153 0.2153 0.2153
Rh 0.7847 0.7847 0.7847

Values from the calculation:
The crystal system is trigonal. The symmetry is No. 166.



CaAlH2Rh: relaxed, PBE-GGA.

a b c (Å): 3.6972 3.6972 6.7347
angles (deg): 90.00 90.00 90.00
Element x y z (fractional)
Ca 0.0000 0.0000 0.0000
Al 0.0000 0.0000 0.5000
H 0.0000 0.5000 0.0000
H 0.5000 0.0000 0.0000
Rh 0.5000 0.5000 0.5000

Values from the calculation:
The crystal system is tetragonal. The symmetry is No. 123.



Ca2ScAlH: relaxed, PBE-GGA.

a b c (Å): 4.7250 4.7250 4.8028
angles (deg): 90.00 90.00 90.00
Element x y z (fractional)
Ca 0.0000 0.5000 0.0000
Ca 0.5000 0.0000 0.0000
Sc 0.0000 0.0000 0.5000
Al 0.5000 0.5000 0.5000
H 0.0000 0.0000 0.0000

Values from the calculation:
The crystal system is tetragonal. The symmetry is No. 123.



no.,DOS at the Fermi energy (states/eV per atom),E_tot (eV/atom)
1,0.13,-4.1384
2,0.16,-3.6194
3,0.80,-3.6400